one.
A plane-wave DFT calculation with PBEsol was carried out for a relaxed structure of Na2Mn2O3.

Values from the calculation:
Crystal system ... monoclinic
Total magnetization ... 9.9 μB per formula unit
Theoretical density ... 3.51 g/cm3

Cell lengths 6.080, 6.252, 5.663 Å; angles 90.00, 116.24, 90.00 degrees
Atoms (fractional coordinates):
Na 0.237 0.136 0.437
Na 0.237 0.364 0.937
Na 0.763 0.636 0.063
Na 0.763 0.864 0.563
Mn 0.303 0.621 0.523
Mn 0.303 0.879 0.023
Mn 0.697 0.121 0.977
Mn 0.697 0.379 0.477
O 0.000 0.000 0.000
O 0.000 0.500 0.500
O 0.449 0.623 0.263
O 0.449 0.877 0.763
O 0.551 0.123 0.237
O 0.551 0.377 0.737


two.
A plane-wave DFT calculation with PBEsol was carried out for a relaxed structure of Na2Mn2O3.

Values from the calculation:
Crystal system ... tetragonal
Total magnetization ... 9.9 μB per formula unit
Theoretical density ... 3.60 g/cm3

Cell lengths 6.326, 6.326, 9.412 Å; angles 90.00, 90.00, 90.00 degrees
Atoms (fractional coordinates):
Na 0.028 0.234 0.362
Na 0.234 0.028 0.638
Na 0.266 0.528 0.112
Na 0.472 0.734 0.388
Na 0.528 0.266 0.888
Na 0.734 0.472 0.612
Na 0.766 0.972 0.138
Na 0.972 0.766 0.862
Mn 0.042 0.261 0.884
Mn 0.239 0.542 0.634
Mn 0.261 0.042 0.116
Mn 0.458 0.761 0.866
Mn 0.542 0.239 0.366
Mn 0.739 0.958 0.616
Mn 0.761 0.458 0.134
Mn 0.958 0.739 0.384
O 0.008 0.256 0.103
O 0.180 0.820 0.250
O 0.244 0.508 0.853
O 0.256 0.008 0.897
O 0.320 0.320 0.500
O 0.492 0.756 0.647
O 0.508 0.244 0.147
O 0.680 0.680 0.000
O 0.744 0.992 0.397
O 0.756 0.492 0.353
O 0.820 0.180 0.750
O 0.992 0.744 0.603


From most stable to least stable, the computed energies give two, one.